(1)
{
  "formula": "ScNiP",
  "functional": "PBE",
  "state": "optimized geometry",
  "lattice": [[-2.579, -3.049, -0.469], [-2.859, 0.201, -2.820], [0.226, -2.340, -3.262]],
  "species": ["Sc", "Ni", "P"],
  "frac_coords": [[0.500, 0.500, 0.500], [0.250, 0.250, 0.250], [0.000, 0.000, 0.000]]
}

***

(2)
{
  "formula": "Sc2Ni2P",
  "functional": "PBE",
  "state": "optimized geometry",
  "lattice": [[-4.501, -3.275, -4.475], [4.905, -5.040, -1.245], [-1.190, -1.774, 2.496]],
  "species": ["P", "Sc", "Ni", "Ni", "P", "Sc", "Ni", "Ni", "Sc", "Sc"],
  "frac_coords": [[0.500, 0.500, 0.000], [0.671, 0.171, 0.000], [0.880, 0.380, 0.500], [0.620, 0.880, 0.500], [0.000, 0.000, 0.000], [0.171, 0.329, 0.000], [0.380, 0.120, 0.500], [0.120, 0.620, 0.500], [0.329, 0.829, 0.000], [0.829, 0.671, 0.000]],
  "relative_energy_ev_per_atom": 0.345
}

***

(3)
{
  "formula": "ScNiP2",
  "functional": "PBE",
  "state": "optimized geometry",
  "lattice": [[-0.911, 2.430, 2.160], [-0.731, -3.083, 1.166], [5.318, -0.290, 2.568]],
  "species": ["Ni", "P", "P", "Sc"],
  "frac_coords": [[0.500, 0.500, 0.750], [0.000, 0.000, 0.956], [0.000, 0.000, 0.544], [0.500, 0.500, 0.250]]
}

***

(4)
{
  "formula": "ScNiP",
  "functional": "PBE",
  "state": "optimized geometry",
  "lattice": [[3.528, 0.000, 0.000], [0.000, 9.443, 0.000], [0.000, 0.000, 5.140]],
  "species": ["Sc", "Ni", "Sc", "Ni", "Sc", "P", "Sc", "P", "Ni", "P", "P", "Ni"],
  "frac_coords": [[0.000, 0.302, 0.750], [0.500, 0.500, 0.500], [0.500, 0.198, 0.250], [0.000, 0.000, 0.500], [0.500, 0.802, 0.750], [0.500, 0.094, 0.750], [0.000, 0.698, 0.250], [0.000, 0.406, 0.250], [0.000, 0.000, 0.000], [0.000, 0.594, 0.750], [0.500, 0.906, 0.250], [0.500, 0.500, 0.000]]
}

***

Number 1: mass density 4.86 g/cm³, total energy -6.88 eV per atom, formation enthalpy at 0 K -1.034 eV per atom. Number 2: mass density 4.72 g/cm³, total energy -6.24 eV per atom, formation enthalpy at 0 K -0.308 eV per atom. Number 3: mass density 4.41 g/cm³, total energy -6.29 eV per atom, formation enthalpy at 0 K -0.554 eV per atom. Number 4: mass density 5.22 g/cm³, total energy -6.88 eV per atom, formation enthalpy at 0 K -1.034 eV per atom.